No. 1
Crystalline SrCaTe3 at its relaxed geometry, computed with PBE.

Structure (extended XYZ):
```
5
Lattice="6.056 0.000 0.000 0.000 6.056 0.000 0.000 0.000 6.056" Properties=species:S:1:pos:R:3 pbc="T T T"
Sr 0.000 0.000 0.000
Ca 3.028 3.028 3.028
Te 0.000 0.000 3.028
Te 0.000 3.028 0.000
Te 3.028 0.000 0.000
```

For the electronic total energy, the calculation gives -3.027 eV/atom. The total magnetization comes out at 0.00 μB/atom. The value obtained for the energy relative to the elements, uncorrected is -0.406 eV per atom. As for the space-group type: Pm-3m (221).


No. 2
Crystalline CaLaPrNd at its relaxed geometry, computed with PBE.

Structure (extended XYZ):
```
4
Lattice="1.867 1.078 12.404 -1.867 1.078 12.404 0.000 -2.156 12.404" Properties=species:S:1:pos:R:3 pbc="T T T"
Ca 0.000 0.000 0.000
La 0.000 0.000 9.145
Pr 0.000 0.000 28.004
Nd 0.000 0.000 18.563
```

For the electronic total energy, the calculation gives -4.090 eV/atom. The formation energy comes out at 0.030 eV per atom. The total magnetization comes out at 0.00 μB/atom. As for the space-group type: R3m (160).


No. 3
Crystalline LaMg2Cu at its relaxed geometry, computed with PBE.

Structure (extended XYZ):
```
4
Lattice="-2.531 2.533 3.576 2.531 -2.533 3.576 2.531 2.533 -3.576" Properties=species:S:1:pos:R:3 pbc="T T T"
La 0.000 0.000 0.000
Mg 2.531 0.000 1.790
Mg 0.000 0.000 3.578
Cu 0.000 2.533 1.785
```

For the electronic total energy, the calculation gives -3.159 eV/atom. The formation energy comes out at -0.106 eV per atom. The total magnetization comes out at 0.00 μB/atom. As for the space-group type: Imm2 (44).


No. 4
Crystalline Rb2Ga5Sn4 at its relaxed geometry, computed with PBE.

Structure (extended XYZ):
```
11
Lattice="0.000 5.696 8.236 3.444 0.000 8.236 3.444 5.696 0.000" Properties=species:S:1:pos:R:3 pbc="T T T"
Rb 3.444 5.696 2.218
Rb 3.444 5.696 14.254
Ga 1.722 2.848 0.000
Ga 1.722 2.848 4.118
Ga 1.722 2.848 8.236
Ga 3.444 5.696 8.236
Ga 5.166 8.544 12.354
Sn 3.444 4.107 5.896
Sn 3.444 7.285 5.896
Sn 3.444 4.107 10.576
Sn 3.444 7.285 10.576
```

For the electronic total energy, the calculation gives -3.035 eV/atom. The formation energy comes out at -0.028 eV per atom. The total magnetization comes out at 0.00 μB/atom. As for the space-group type: Fmmm (69).


No. 5
Crystalline La2CoP at its relaxed geometry, computed with PBE.

Structure (extended XYZ):
```
4
Lattice="0.000 3.470 3.470 3.470 0.000 3.470 3.470 3.470 0.000" Properties=species:S:1:pos:R:3 pbc="T T T"
La 0.000 0.000 0.000
La 1.735 1.735 1.735
Co 3.470 3.470 3.470
P 5.205 5.205 5.205
```

For the electronic total energy, the calculation gives -5.614 eV/atom. The formation energy comes out at -0.022 eV per atom. The total magnetization comes out at 0.00 μB/atom. As for the space-group type: F-43m (216).


No. 6
Crystalline Li2ScSb at its relaxed geometry, computed with PBE.

Structure (extended XYZ):
```
4
Lattice="-2.085 2.085 4.855 2.085 -2.085 4.855 2.085 2.085 -4.855" Properties=species:S:1:pos:R:3 pbc="T T T"
Li 2.085 0.000 2.428
Li 0.000 2.085 2.428
Sc 0.000 0.000 0.000
Sb 0.000 0.000 4.855
```

For the electronic total energy, the calculation gives -3.928 eV/atom. The total magnetization comes out at 0.00 μB/atom. The value obtained for the energy relative to the elements, uncorrected is -0.357 eV per atom. As for the space-group type: I4/mmm (139).